The following is a GGA-PBE calculation of a relaxed structure of CaAl2As, from Alexandria via LeMat-Bulk.

* energy relative to the elements: -0.10 eV/atom
* magnetization: 0.000 μB per atom

a = 6.9850 Å, b = 6.9850 Å, c = 6.9850 Å
α = 90.00°, β = 90.00°, γ = 90.00°
Space group F-43m (No. 216)
One atom of each set of equivalent atoms:
Ca 0.0000 0.0000 0.0000 (multiplicity 4)
Al 0.0000 0.0000 0.5000 (multiplicity 4)
Al 0.2500 0.2500 0.2500 (multiplicity 4)
As 0.2500 0.2500 0.7500 (multiplicity 4)

The following is a GGA-PBE calculation of a relaxed structure of LiP2Ru, from Alexandria via LeMat-Bulk.

* energy relative to the elements: -0.31 eV/atom
* magnetization: 0.000 μB per atom

a = 2.8754 Å, b = 2.8754 Å, c = 6.8146 Å
α = 90.00°, β = 90.00°, γ = 90.00°
Space group P4/mmm (No. 123)
One atom of each set of equivalent atoms:
Li 0.0000 0.0000 0.0000 (multiplicity 1)
P 0.5000 0.5000 0.2800 (multiplicity 2)
Ru 0.0000 0.0000 0.5000 (multiplicity 1)

The following is a GGA-PBE calculation of a relaxed structure of CaMg4Se, from Alexandria via LeMat-Bulk.

* magnetization: 0.000 μB per atom
* energy relative to the elements, uncorrected: -5.6 kJ per mole of atoms

a = 8.5196 Å, b = 8.5196 Å, c = 8.5196 Å
α = 90.00°, β = 90.00°, γ = 90.00°
Space group F-43m (No. 216)
One atom of each set of equivalent atoms:
Ca 0.0000 0.0000 0.0000 (multiplicity 4)
Mg 0.1253 0.1253 0.6253 (multiplicity 16)
Se 0.2500 0.2500 0.2500 (multiplicity 4)

> magnetization of number 3 (CaMg4Se)?

0.000 μB per atom